No. 1
Li5Co3Ni2O10 after structural relaxation. Source: Alexandria, functional PBE with a Hubbard U.

a = 4.970 Å, b = 6.855 Å, c = 8.007 Å
α = 111.34°, β = 84.60°, γ = 130.66°
Last column: magnetic moment on the atom in μB.
Positions (direct):
1 O 0.088 0.457 0.726  0.09
2 O 0.912 0.543 0.274  0.09
3 O 0.735 0.331 0.610  0.06
4 O 0.265 0.669 0.390  0.06
5 O 0.827 0.690 0.961  0.11
6 O 0.102 0.107 0.346  0.07
7 O 0.456 0.865 0.101  0.10
8 O 0.173 0.310 0.039  0.11
9 O 0.898 0.893 0.654  0.07
10 O 0.544 0.135 0.899  0.10
11 Co 0.315 0.097 0.122  2.66
12 Co 0.000 0.500 0.000  2.08
13 Co 0.685 0.903 0.878  2.66
14 Li 0.805 0.063 0.547  0.00
15 Li 0.195 0.937 0.453  0.00
16 Li 0.068 0.743 0.732  0.00
17 Li 0.500 0.500 0.500  0.01
18 Li 0.932 0.257 0.268  0.00
19 Ni 0.382 0.282 0.804  1.74
20 Ni 0.618 0.718 0.196  1.74

Output
Final energy   -102.359 eV for the cell shown

No. 2
Li3CoNi3O8 after structural relaxation. Source: Alexandria, functional PBE with a Hubbard U.

a = 5.792 Å, b = 5.792 Å, c = 14.387 Å
α = 89.42°, β = 90.74°, γ = 120.98°
Last column: magnetic moment on the atom in μB.
Positions (direct):
1 Co 0.669 0.333 0.671  -1.10
2 Co 0.997 0.998 0.997  1.08
3 Co 0.333 0.668 0.333  -1.05
4 O 0.186 0.352 0.403  -0.07
5 O 0.998 0.527 0.740  0.12
6 O 0.352 0.673 0.072  -0.02
7 O 0.843 0.201 0.596  0.03
8 O 0.334 0.667 0.597  -0.06
9 O 0.509 0.532 0.261  0.00
10 O 0.171 0.853 0.927  -0.01
11 O 0.531 0.014 0.739  -0.16
12 O 0.183 0.328 0.929  0.04
13 O 0.659 0.341 0.405  -0.10
14 O 0.832 0.139 0.068  -0.03
15 O 0.665 0.803 0.926  0.03
16 O 0.640 0.330 0.933  -0.03
17 O 0.649 0.845 0.406  -0.04
18 O 0.158 0.804 0.406  0.00
19 O 0.480 0.984 0.263  -0.08
20 O 0.830 0.685 0.070  0.03
21 O 0.796 0.640 0.596  -0.11
22 O 0.311 0.172 0.074  0.01
23 O 0.006 0.997 0.732  -0.06
24 O 0.485 0.472 0.743  0.03
25 O 0.018 0.492 0.260  -0.04
26 O 0.358 0.161 0.594  0.12
27 O 0.008 0.994 0.261  -0.10
28 Ni 0.670 0.834 0.666  1.17
29 Ni 0.500 0.000 0.000  1.16
30 Ni 0.998 0.497 0.000  1.74
31 Ni 0.833 0.668 0.333  1.13
32 Ni 0.833 0.168 0.333  1.29
33 Ni 0.333 0.168 0.333  1.20
34 Ni 0.166 0.333 0.667  1.13
35 Ni 0.498 0.497 0.003  -0.03
36 Ni 0.169 0.837 0.663  -1.08
37 Li 0.829 0.661 0.833  0.01
38 Li 0.667 0.831 0.165  0.01
39 Li 0.173 0.336 0.167  0.01
40 Li 0.495 0.493 0.500  0.00
41 Li 0.339 0.667 0.832  0.00
42 Li 0.995 0.502 0.500  0.01
43 Li 0.162 0.833 0.167  0.00
44 Li 0.502 0.002 0.500  0.01
45 Li 0.334 0.169 0.836  0.01

Output
Final energy   -227.390 eV for the cell shown

No. 3
Li5Co3Ni2O10 after structural relaxation. Source: Alexandria, functional PBE with a Hubbard U.

a = 5.454 Å, b = 5.415 Å, c = 8.302 Å
α = 87.60°, β = 128.23°, γ = 93.43°
Last column: magnetic moment on the atom in μB.
Positions (direct):
1 O 0.440 0.135 0.772  0.02
2 O 0.554 0.394 0.858  -0.01
3 O 0.560 0.865 0.228  0.02
4 O 0.666 0.234 0.510  0.12
5 O 0.446 0.606 0.142  -0.01
6 O 0.334 0.766 0.490  0.12
7 O 0.893 0.788 0.053  0.11
8 O 0.107 0.212 0.947  0.11
9 O 0.008 0.267 0.304  0.11
10 O 0.992 0.733 0.696  0.11
11 Ni 0.924 0.614 0.283  1.71
12 Ni 0.076 0.386 0.717  1.71
13 Co 0.740 0.956 0.731  2.67
14 Co 0.260 0.044 0.269  2.67
15 Co 0.000 0.500 0.000  2.23
16 Li 0.000 0.000 0.500  0.00
17 Li 0.595 0.622 0.436  0.00
18 Li 0.572 0.196 0.092  0.00
19 Li 0.428 0.804 0.908  0.00
20 Li 0.405 0.378 0.564  0.00

Output
Final energy   -100.953 eV for the cell shown

No. 4
Li3Co2NiO6 after structural relaxation. Source: Alexandria, functional PBE with a Hubbard U.

a = 6.439 Å, b = 2.856 Å, c = 5.779 Å
α = 91.10°, β = 103.95°, γ = 77.41°
Last column: magnetic moment on the atom in μB.
Positions (direct):
1 O 0.984 0.504 0.766  0.00
2 O 0.659 0.151 0.437  -0.01
3 O 0.315 0.872 0.091  -0.05
4 O 0.006 0.513 0.225  -0.01
5 O 0.681 0.160 0.896  0.00
6 O 0.349 0.793 0.572  -0.05
7 Ni 0.332 0.332 0.331  1.20
8 Co 0.667 0.659 0.666  -0.04
9 Co 0.998 0.006 0.997  -0.04
10 Li 0.332 0.333 0.831  0.00
11 Li 0.667 0.669 0.164  0.00
12 Li 0.997 0.996 0.498  0.00

Output
Final energy   -64.967 eV for the cell shown

No. 5
Li4Co3NiO8 after structural relaxation. Source: Alexandria, functional PBE with a Hubbard U.

a = 5.760 Å, b = 5.770 Å, c = 9.951 Å
α = 106.73°, β = 90.52°, γ = 60.35°
Last column: magnetic moment on the atom in μB.
Positions (direct):
1 O 0.835 0.784 0.880  0.00
2 O 0.154 0.221 0.124  0.03
3 O 0.133 0.223 0.623  -0.01
4 O 0.873 0.775 0.376  -0.01
5 O 0.621 0.221 0.123  0.03
6 O 0.354 0.778 0.377  -0.03
7 O 0.367 0.232 0.879  0.01
8 O 0.108 0.779 0.138  0.01
9 O 0.889 0.219 0.861  0.00
10 O 0.894 0.217 0.369  0.00
11 O 0.609 0.784 0.637  -0.04
12 O 0.606 0.782 0.130  -0.04
13 O 0.657 0.217 0.620  -0.05
14 O 0.394 0.218 0.365  -0.05
15 O 0.132 0.769 0.624  0.04
16 O 0.373 0.780 0.878  0.03
17 Co 0.492 0.005 0.002  1.10
18 Co 0.006 0.996 0.499  -0.07
19 Co 0.751 0.999 0.250  -0.04
20 Co 0.250 0.001 0.750  -0.05
21 Co 0.750 0.000 0.749  1.89
22 Co 0.250 0.000 0.251  -0.03
23 Li 0.753 0.497 0.749  0.01
24 Li 0.010 0.497 0.497  0.00
25 Li 0.489 0.504 0.003  0.00
26 Li 0.748 0.505 0.256  0.00
27 Li 0.504 0.498 0.498  0.00
28 Li 0.995 0.504 0.002  0.00
29 Li 0.248 0.503 0.251  0.01
30 Li 0.256 0.495 0.743  0.00
31 Ni 0.503 0.999 0.499  1.54
32 Ni 0.997 0.000 0.001  1.71

Output
Final energy   -174.909 eV for the cell shown

No. 6
Li2CoNi2O6 after structural relaxation. Source: Alexandria, functional PBE with a Hubbard U.

a = 4.882 Å, b = 4.882 Å, c = 9.973 Å
α = 90.00°, β = 90.00°, γ = 118.62°
Last column: magnetic moment on the atom in μB.
Positions (direct):
1 Li 0.644 0.147 0.252  0.00
2 Li 0.144 0.647 0.248  0.00
3 Li 0.853 0.356 0.748  0.00
4 Li 0.353 0.856 0.752  0.00
5 O 0.997 0.661 0.900  -0.04
6 O 0.497 0.161 0.600  -0.04
7 O 0.185 0.531 0.608  0.05
8 O 0.332 0.330 0.903  -0.09
9 O 0.969 0.315 0.108  0.05
10 O 0.839 0.503 0.400  -0.04
11 O 0.469 0.815 0.392  0.05
12 O 0.670 0.668 0.097  -0.09
13 O 0.339 0.003 0.100  -0.04
14 O 0.685 0.031 0.892  0.05
15 O 0.170 0.168 0.403  -0.09
16 O 0.832 0.830 0.597  -0.09
17 Ni 0.836 0.164 0.500  1.13
18 Ni 0.665 0.335 0.000  0.13
19 Ni 0.165 0.835 0.500  0.13
20 Ni 0.336 0.664 0.000  1.13
21 Co 0.998 0.002 0.000  -0.06
22 Co 0.498 0.502 0.500  -0.06

Output
Final energy   -111.611 eV for the cell shown